Density functional theory data (PBE) for K3AcSb2O6 after structural relaxation.

Values from the calculation:
* magnetic moment: 0.00 μB/cell
* energy relative to the elements, uncorrected: -1968.9 meV per atom
* mass density: 4.38 g/cm³

Lattice parameters (Å, degrees): 6.3896 6.3896 7.3388 90.00 90.00 120.00
Space group P-3m1 (No. 164)
Inequivalent atoms, fractional coordinates:
K (0.0000, 0.0000, 0.0000)
K (0.3333, 0.6667, 0.6431)
Ac (0.0000, 0.0000, 0.5000)
Sb (0.3333, 0.6667, 0.1670)
O (0.1785, 0.3570, 0.2975)

---

Density functional theory data (PBE) for SrDyIn6 after structural relaxation.

Values from the calculation:
* magnetic moment: 0.00 μB/cell
* mass density: 7.29 g/cm³
* energy of formation from the pure elements: -2.859 eV per formula unit

Lattice parameters (Å, degrees): 4.741 4.741 9.516 90.00 90.00 90.00
Space group P4/mmm (No. 123)
Inequivalent atoms, fractional coordinates:
Sr (0.000, 0.000, 0.000)
Dy (0.000, 0.000, 0.500)
In (0.000, 0.500, 0.259)
In (0.500, 0.500, 0.000)
In (0.500, 0.500, 0.500)

---

Density functional theory data (PBE) for LaPmNiAg after structural relaxation.

Values from the calculation:
* magnetic moment: 0.00 μB/cell
* mass density: 7.63 g/cm³
* energy of formation from the pure elements: -0.820 eV per formula unit

Lattice parameters (Å, degrees): 7.319 7.319 7.319 90.00 90.00 90.00
Space group F-43m (No. 216)
Inequivalent atoms, fractional coordinates:
La (0.000, 0.000, 0.000)
Pm (0.000, 0.000, 0.500)
Ni (0.250, 0.250, 0.250)
Ag (0.250, 0.250, 0.750)